1.
First-principles (PBE) data for an optimized crystal structure of AlCr2Ga, as listed in Alexandria via LeMat-Bulk.

crystal system: tetragonal
space group: I-42d
size of the total moment: 1.98 μB per formula unit
formation energy: 551 meV/atom

abc: 6.7141 6.7141 5.3975
angles: 51.54 51.54 90.00
With the nearest neighbours (Å) after each atom.
Atoms (fractional coordinates):
Cr: 0.6291 0.1250 0.2500  2 Ga 2.44, 2 Al 2.48, 2 Cr 2.57
Cr: 0.1209 0.6250 0.2500  2 Ga 2.44, 2 Al 2.48, 2 Cr 2.57
Cr: 0.3750 0.3709 0.7500  2 Ga 2.44, 2 Al 2.48, 2 Cr 2.57
Cr: 0.8750 0.8791 0.7500  2 Ga 2.44, 2 Al 2.48, 2 Cr 2.57
Al: 0.5000 0.5000 0.0000  4 Cr 2.48, 2 Ga 2.57
Al: 0.2500 0.7500 0.5000  4 Cr 2.48, 2 Ga 2.57
Ga: 0.0000 0.0000 0.0000  4 Cr 2.44, 2 Al 2.57
Ga: 0.7500 0.2500 0.5000  4 Cr 2.44, 2 Al 2.57


2.
First-principles (PBE) data for an optimized crystal structure of YScB4, as listed in Alexandria via LeMat-Bulk.

crystal system: orthorhombic
space group: Pbam
size of the total moment: 0.00 μB per formula unit
formation energy: -552 meV/atom

abc: 3.7559 6.1191 11.9250
angles: 90.00 90.00 90.00
With the nearest neighbours (Å) after each atom.
Atoms (fractional coordinates):
Y: 0.0000 0.6341 0.3477  14 B 2.73-2.87
Y: 0.0000 0.3659 0.6523  14 B 2.73-2.87
Y: 0.0000 0.1341 0.1523  14 B 2.73-2.87
Y: 0.0000 0.8659 0.8477  14 B 2.73-2.87
Sc: 0.0000 0.6398 0.0881  10 B 2.42-2.49, 1 Sc 2.71
Sc: 0.0000 0.3602 0.9119  10 B 2.42-2.49, 1 Sc 2.71
Sc: 0.0000 0.1398 0.4119  10 B 2.42-2.49, 1 Sc 2.71
Sc: 0.0000 0.8602 0.5881  10 B 2.42-2.49, 1 Sc 2.71
B: 0.5000 0.7971 0.1882  3 B 1.77-1.96
B: 0.5000 0.2029 0.8118  3 B 1.77-1.96
B: 0.5000 0.2971 0.3118  3 B 1.77-1.96
B: 0.5000 0.7029 0.6882  3 B 1.77-1.96
B: 0.5000 0.8715 0.0292  2 B 1.72-1.82
B: 0.5000 0.1285 0.9708  2 B 1.72-1.82
B: 0.5000 0.3715 0.4708  2 B 1.72-1.82
B: 0.5000 0.6285 0.5292  2 B 1.72-1.82
B: 0.5000 0.8853 0.4523  3 B 1.81-1.84
B: 0.5000 0.1147 0.5477  3 B 1.81-1.84
B: 0.5000 0.3853 0.0477  3 B 1.81-1.84
B: 0.5000 0.6147 0.9523  3 B 1.81-1.84
B: 0.5000 0.9763 0.3053  3 B 1.77-1.96
B: 0.5000 0.0237 0.6947  3 B 1.77-1.96
B: 0.5000 0.4763 0.1947  3 B 1.77-1.96
B: 0.5000 0.5237 0.8053  3 B 1.77-1.96